VASP calculation (GGA-PBE) on an optimized crystal structure of Th4GeBi2Pb.

Cell: 4.4940 7.8765 7.8430 Å, 70.85 90.00 90.00°
Fractional coordinates of all 8 atoms:
Bi1 0.0000 0.0000 0.0000
Pb1 0.5000 0.5000 0.0000
Th1 0.5000 0.2734 0.7305
Th2 0.0000 0.7345 0.7421
Th3 0.5000 0.7266 0.2695
Bi2 0.5000 0.0000 0.5000
Ge1 0.0000 0.5000 0.5000
Th4 0.0000 0.2655 0.2579

Values from the calculation:
raw total energy: -6.28 eV/atom
DFT formation energy: -561 meV per atom
total magnetization: 0.00 Bohr magnetons per cell